Entry 1:
{
  "formula": "Y4NiPt3",
  "functional": "PBE",
  "state": "relaxed",
  "energy_ev_per_atom": -7.272,
  "crystal_system": "orthorhombic",
  "formation_energy_ev_per_atom": -1.052,
  "sg": "No. 25",
  "cell": [[3.789, 0.000, 0.000], [0.000, 4.441, 0.000], [0.000, 0.000, 10.480]],
  "species": ["Y", "Y", "Y", "Y", "Ni", "Pt", "Pt", "Pt"],
  "fractional_positions": [[0.000, 0.000, 0.000], [0.000, 0.500, 0.273], [0.500, 0.000, 0.493], [0.500, 0.500, 0.776], [0.500, 0.000, 0.213], [0.000, 0.000, 0.724], [0.000, 0.500, 0.547], [0.500, 0.500, 0.060]]
}



Entry 2:
{
  "formula": "Y4NiPt",
  "functional": "PBE",
  "state": "relaxed",
  "polymorph_energy_mev_per_atom": 1131,
  "energy_ev_per_atom": -5.659,
  "crystal_system": "cubic",
  "formation_energy_ev_per_atom": 0.621,
  "sg": "No. 216",
  "cell": [[0.000, 4.215, 4.215], [4.215, 0.000, 4.215], [4.215, 4.215, 0.000]],
  "species": ["Y", "Y", "Y", "Y", "Ni", "Pt"],
  "fractional_positions": [[0.125, 0.125, 0.125], [0.125, 0.125, 0.624], [0.125, 0.624, 0.125], [0.624, 0.125, 0.125], [0.750, 0.750, 0.750], [0.500, 0.500, 0.500]]
}